The following is a PBE calculation of a relaxed Ca2Cd15Pb2 crystal, from Alexandria via LeMat-Bulk.

```
19
Lattice="-7.417 -2.347 0.763 -0.251 -3.889 -6.776 1.739 -6.971 3.079" Properties=species:S:1:pos:R:3 pbc="T T T"
Ca -2.027 -4.515 -1.003
Ca -3.902 -8.692 -1.931
Cd -3.708 -1.174 0.382
Cd 0.869 -3.486 1.539
Cd -0.125 -1.945 -3.388
Cd 0.378 -4.863 -3.661
Cd -5.152 -2.834 -1.620
Cd -1.155 -5.510 2.347
Cd -2.516 -3.402 -4.393
Cd -4.523 -3.809 1.495
Cd 1.110 -5.997 -0.036
Cd -0.328 -7.426 -2.256
Cd -4.653 -5.242 -3.350
Cd -3.713 -6.698 1.304
Cd -5.601 -5.781 -0.677
Cd -1.276 -7.965 0.416
Cd -2.216 -6.510 -4.238
Pb -0.626 -1.396 -0.310
Pb -5.302 -11.812 -2.624
```

## Properties
formation enthalpy at 0 K	-110	meV/atom
Fermi-level density of states	7.153	states/eV per cell
spin magnetization	0.0	μB per formula unit
total energy	-27.24	eV per cell